P) This record from Alexandria via LeMat-Bulk describes Ba2CaAu after structural relaxation. The functional is PBE.

a = 4.534 Å, b = 5.947 Å, c = 5.957 Å
α = 90.00°, β = 90.00°, γ = 90.00°
Space group Pmmm (No. 47)
Asymmetric unit:
Ba (0.000, 0.000, 0.000) (multiplicity 1)
Ba (0.000, 0.500, 0.500) (multiplicity 1)
Ca (0.500, 0.000, 0.500) (multiplicity 1)
Au (0.500, 0.500, 0.000) (multiplicity 1)

Properties
spin magnetization: 0.0 Bohr magnetons per cell
DOS(E_F): 6.923 states/eV/f.u.

---

Q) This record from Alexandria via LeMat-Bulk describes Ba2CaAu after structural relaxation. The functional is PBE.

a = 4.5677 Å, b = 4.5677 Å, c = 32.4342 Å
α = 90.00°, β = 90.00°, γ = 120.00°
Space group R-3m (No. 166, hexagonal axes)
Asymmetric unit:
Ba (0.0000, 0.0000, 0.2263) (multiplicity 6)
Ca (0.0000, 0.0000, 0.0000) (multiplicity 3)
Au (0.0000, 0.0000, 0.5000) (multiplicity 3)

Properties
spin magnetization: 0.0 Bohr magnetons per cell
DOS(E_F): 4.642 states/eV/f.u.

---

R) This record from Alexandria via LeMat-Bulk describes Ba2CaAu after structural relaxation. The functional is PBE.

a = 4.181 Å, b = 6.018 Å, c = 13.195 Å
α = 90.00°, β = 90.00°, γ = 90.00°
Space group Immm (No. 71)
Asymmetric unit:
Ba (0.000, 0.000, 0.187) (multiplicity 4)
Ca (0.000, 0.500, 0.000) (multiplicity 2)
Au (0.000, 0.500, 0.500) (multiplicity 2)

Properties
spin magnetization: 0.0 Bohr magnetons per cell
DOS(E_F): 4.172 states/eV/f.u.

---

S) This record from Alexandria via LeMat-Bulk describes Ba2CaAu after structural relaxation. The functional is PBE.

a = 3.991 Å, b = 3.991 Å, c = 10.373 Å
α = 90.00°, β = 90.00°, γ = 90.00°
Space group P4mm (No. 99)
Asymmetric unit:
Ba (0.000, 0.000, 0.000) (multiplicity 1)
Ba (0.500, 0.500, 0.353) (multiplicity 1)
Ca (0.000, 0.000, 0.657) (multiplicity 1)
Au (0.500, 0.500, 0.799) (multiplicity 1)

Properties
spin magnetization: 0.0 Bohr magnetons per cell
DOS(E_F): 3.740 states/eV/f.u.

---

Energies, relative to the best one, in eV/atom: P) 0.199; Q) 0.060; R) 0.105; S) 0.000.

---

P) This record from Alexandria via LeMat-Bulk describes Ba2CaAu after structural relaxation. The functional is PBE.

a = 4.5787 Å, b = 4.5787 Å, c = 32.4415 Å
α = 90.00°, β = 90.00°, γ = 120.00°
Space group R3m (No. 160, hexagonal axes)
Asymmetric unit:
Ba (0.0000, 0.0000, 0.0000) (multiplicity 3)
Ba (0.0000, 0.0000, 0.2148) (multiplicity 3)
Ca (0.0000, 0.0000, 0.4414) (multiplicity 3)
Au (0.0000, 0.0000, 0.6074) (multiplicity 3)

Properties
spin magnetization: 0.0 Bohr magnetons per cell
DOS(E_F): 4.478 states/eV/f.u.

---

Q) This record from Alexandria via LeMat-Bulk describes Ba2CaAu after structural relaxation. The functional is PBE.

a = 14.676 Å, b = 4.066 Å, c = 6.212 Å
α = 90.00°, β = 115.04°, γ = 90.00°
Space group Cm (No. 8)
Asymmetric unit:
Ba (0.000, 0.000, 0.000) (multiplicity 2)
Ba (0.187, 0.000, 0.687) (multiplicity 2)
Ca (0.319, 0.500, 0.318) (multiplicity 2)
Au (0.487, 0.000, 0.485) (multiplicity 2)

Properties
spin magnetization: 0.0 Bohr magnetons per cell
DOS(E_F): 4.565 states/eV/f.u.

---

Energies, relative to the best one, in eV/atom: P) 0.050; Q) 0.000.

---

P) This record from Alexandria via LeMat-Bulk describes Ba2CaAu after structural relaxation. The functional is PBE.

a = 8.291 Å, b = 8.291 Å, c = 8.291 Å
α = 90.00°, β = 90.00°, γ = 90.00°
Space group F-43m (No. 216)
Asymmetric unit:
Ba (0.000, 0.000, 0.000) (multiplicity 4)
Ba (0.250, 0.250, 0.250) (multiplicity 4)
Ca (0.250, 0.250, 0.750) (multiplicity 4)
Au (0.000, 0.000, 0.500) (multiplicity 4)

Properties
spin magnetization: 0.0 Bohr magnetons per cell
DOS(E_F): 3.969 states/eV/f.u.

---

Q) This record from Alexandria via LeMat-Bulk describes Ba2CaAu after structural relaxation. The functional is PBE.

a = 5.066 Å, b = 5.066 Å, c = 12.291 Å
α = 90.00°, β = 90.00°, γ = 90.00°
Space group I-4m2 (No. 119)
Asymmetric unit:
Ba (0.000, 0.000, 0.000) (multiplicity 2)
Ba (0.000, 0.500, 0.250) (multiplicity 2)
Ca (0.000, 0.500, 0.750) (multiplicity 2)
Au (0.000, 0.000, 0.500) (multiplicity 2)

Properties
spin magnetization: 0.0 Bohr magnetons per cell
DOS(E_F): 4.800 states/eV/f.u.

---

Energies, relative to the best one, in eV/atom: P) 0.012; Q) 0.000.

---

P) This record from Alexandria via LeMat-Bulk describes Ba2CaAu after structural relaxation. The functional is PBE.

a = 4.361 Å, b = 11.185 Å, c = 7.358 Å
α = 90.00°, β = 90.00°, γ = 90.00°
Space group Pmmn (No. 59, origin choice 2)
Asymmetric unit:
Ba (0.250, 0.063, 0.231) (multiplicity 4)
Ca (0.250, 0.250, 0.732) (multiplicity 2)
Au (0.250, 0.750, 0.991) (multiplicity 2)

Properties
spin magnetization: 0.0 Bohr magnetons per cell
DOS(E_F): 4.510 states/eV/f.u.

---

Q) This record from Alexandria via LeMat-Bulk describes Ba2CaAu after structural relaxation. The functional is PBE.

a = 4.5426 Å, b = 4.5426 Å, c = 32.1253 Å
α = 90.00°, β = 90.00°, γ = 120.00°
Space group R3m (No. 160, hexagonal axes)
Asymmetric unit:
Ba (0.0000, 0.0000, 0.0000) (multiplicity 3)
Ba (0.0000, 0.0000, 0.2112) (multiplicity 3)
Ca (0.0000, 0.0000, 0.4389) (multiplicity 3)
Au (0.0000, 0.0000, 0.7278) (multiplicity 3)

Properties
spin magnetization: 0.0 Bohr magnetons per cell
DOS(E_F): 4.548 states/eV/f.u.

---

R) This record from Alexandria via LeMat-Bulk describes Ba2CaAu after structural relaxation. The functional is PBE.

a = 8.631 Å, b = 8.631 Å, c = 8.631 Å
α = 90.00°, β = 90.00°, γ = 90.00°
Space group Fm-3m (No. 225)
Asymmetric unit:
Ba (0.250, 0.250, 0.250) (multiplicity 8)
Ca (0.000, 0.000, 0.000) (multiplicity 4)
Au (0.000, 0.000, 0.500) (multiplicity 4)

Properties
spin magnetization: 0.0 Bohr magnetons per cell
DOS(E_F): 6.819 states/eV/f.u.

---

S) This record from Alexandria via LeMat-Bulk describes Ba2CaAu after structural relaxation. The functional is PBE.

a = 5.499 Å, b = 5.499 Å, c = 10.491 Å
α = 90.00°, β = 90.00°, γ = 90.00°
Space group I4/mmm (No. 139)
Asymmetric unit:
Ba (0.000, 0.500, 0.250) (multiplicity 4)
Ca (0.000, 0.000, 0.000) (multiplicity 2)
Au (0.000, 0.000, 0.500) (multiplicity 2)

Properties
spin magnetization: 0.0 Bohr magnetons per cell
DOS(E_F): 6.623 states/eV/f.u.

---

Energies, relative to the best one, in eV/atom: P) 0.000; Q) 0.010; R) 0.274; S) 0.283.

---

P) This record from Alexandria via LeMat-Bulk describes BaCa3Au after structural relaxation. The functional is PBE.

a = 5.904 Å, b = 5.904 Å, c = 5.904 Å
α = 90.00°, β = 90.00°, γ = 90.00°
Space group Pm-3m (No. 221)
Asymmetric unit:
Ba (0.000, 0.000, 0.000) (multiplicity 1)
Ca (0.000, 0.500, 0.500) (multiplicity 3)
Au (0.500, 0.500, 0.500) (multiplicity 1)

Properties
spin magnetization: 0.0 Bohr magnetons per cell
DOS(E_F): 6.719 states/eV/f.u.

---

Q) This record from Alexandria via LeMat-Bulk describes BaCa3Au after structural relaxation. The functional is PBE.

a = 5.713 Å, b = 5.713 Å, c = 5.713 Å
α = 90.00°, β = 90.00°, γ = 90.00°
Space group Pm-3m (No. 221)
Asymmetric unit:
Ba (0.000, 0.000, 0.000) (multiplicity 1)
Ca (0.000, 0.000, 0.500) (multiplicity 3)
Au (0.500, 0.500, 0.500) (multiplicity 1)

Properties
spin magnetization: 0.0 Bohr magnetons per cell
DOS(E_F): 6.214 states/eV/f.u.

---

Energies, relative to the best one, in eV/atom: P) 0.000; Q) 1.437.

---

P) This record from Alexandria via LeMat-Bulk describes BaCaAu3 after structural relaxation. The functional is PBE.

a = 4.138 Å, b = 28.798 Å, c = 4.684 Å
α = 90.00°, β = 90.00°, γ = 90.00°
Space group Cmcm (No. 63)
Asymmetric unit:
Ba (0.000, 0.075, 0.250) (multiplicity 4)
Ca (0.000, 0.207, 0.750) (multiplicity 4)
Au (0.000, 0.313, 0.750) (multiplicity 4)
Au (0.000, 0.373, 0.250) (multiplicity 4)
Au (0.000, 0.473, 0.250) (multiplicity 4)

Properties
spin magnetization: 0.0 Bohr magnetons per cell
DOS(E_F): 1.365 states/eV/f.u.

---

Q) This record from Alexandria via LeMat-Bulk describes BaCaAu3 after structural relaxation. The functional is PBE.

a = 5.896 Å, b = 5.896 Å, c = 5.896 Å
α = 90.00°, β = 90.00°, γ = 90.00°
Space group Pm-3m (No. 221)
Asymmetric unit:
Ba (0.000, 0.000, 0.000) (multiplicity 1)
Ca (0.500, 0.500, 0.500) (multiplicity 1)
Au (0.000, 0.000, 0.500) (multiplicity 3)

Properties
spin magnetization: 0.0 Bohr magnetons per cell
DOS(E_F): 1.818 states/eV/f.u.

---

Energies, relative to the best one, in eV/atom: P) 0.000; Q) 0.867.

---

P) This record from Alexandria via LeMat-Bulk describes Ba2LiCaAu after structural relaxation. The functional is PBE.

a = 6.414 Å, b = 6.414 Å, c = 5.824 Å
α = 90.00°, β = 90.00°, γ = 90.00°
Space group P4/mmm (No. 123)
Asymmetric unit:
Ba (0.000, 0.500, 0.000) (multiplicity 2)
Li (0.000, 0.000, 0.500) (multiplicity 1)
Ca (0.500, 0.500, 0.500) (multiplicity 1)
Au (0.500, 0.500, 0.000) (multiplicity 1)

Properties
spin magnetization: 0.0 Bohr magnetons per cell
DOS(E_F): 4.111 states/eV/f.u.

---

Q) This record from Alexandria via LeMat-Bulk describes Ba2LiCaAu after structural relaxation. The functional is PBE.

a = 6.472 Å, b = 6.472 Å, c = 5.203 Å
α = 90.00°, β = 90.00°, γ = 90.00°
Space group P4/mmm (No. 123)
Asymmetric unit:
Ba (0.000, 0.500, 0.000) (multiplicity 2)
Li (0.000, 0.000, 0.500) (multiplicity 1)
Ca (0.500, 0.500, 0.500) (multiplicity 1)
Au (0.000, 0.000, 0.000) (multiplicity 1)

Properties
spin magnetization: 0.0 Bohr magnetons per cell
DOS(E_F): 5.556 states/eV/f.u.

---

Energies, relative to the best one, in eV/atom: P) 0.000; Q) 0.033.

---

P) This record from Alexandria via LeMat-Bulk describes BaLiCaAu after structural relaxation. The functional is PBE.

a = 4.5479 Å, b = 4.5479 Å, c = 23.0637 Å
α = 90.00°, β = 90.00°, γ = 120.00°
Space group R3m (No. 160, hexagonal axes)
Asymmetric unit:
Ba (0.0000, 0.0000, 0.0000) (multiplicity 3)
Li (0.0000, 0.0000, 0.4358) (multiplicity 3)
Ca (0.0000, 0.0000, 0.1808) (multiplicity 3)
Au (0.0000, 0.0000, 0.7703) (multiplicity 3)

Properties
spin magnetization: 0.0 Bohr magnetons per cell
DOS(E_F): 2.170 states/eV/f.u.

---

Q) This record from Alexandria via LeMat-Bulk describes BaLiCaAu after structural relaxation. The functional is PBE.

a = 7.893 Å, b = 7.893 Å, c = 7.893 Å
α = 90.00°, β = 90.00°, γ = 90.00°
Space group F-43m (No. 216)
Asymmetric unit:
Ba (0.000, 0.000, 0.000) (multiplicity 4)
Li (0.250, 0.250, 0.250) (multiplicity 4)
Ca (0.000, 0.000, 0.500) (multiplicity 4)
Au (0.250, 0.250, 0.750) (multiplicity 4)

Properties
spin magnetization: 0.0 Bohr magnetons per cell
DOS(E_F): 3.182 states/eV/f.u.

---

Energies, relative to the best one, in eV/atom: P) 0.000; Q) 0.076.

---

P) This record from Alexandria via LeMat-Bulk describes Ba2CaMgAu after structural relaxation. The functional is PBE.

a = 6.364 Å, b = 6.364 Å, c = 5.770 Å
α = 90.00°, β = 90.00°, γ = 90.00°
Space group P4/mmm (No. 123)
Asymmetric unit:
Ba (0.000, 0.500, 0.000) (multiplicity 2)
Ca (0.000, 0.000, 0.500) (multiplicity 1)
Mg (0.500, 0.500, 0.500) (multiplicity 1)
Au (0.000, 0.000, 0.000) (multiplicity 1)

Properties
spin magnetization: 0.0 Bohr magnetons per cell
DOS(E_F): 3.883 states/eV/f.u.

---

Q) This record from Alexandria via LeMat-Bulk describes Ba2CaMgAu after structural relaxation. The functional is PBE.

a = 6.442 Å, b = 6.442 Å, c = 5.299 Å
α = 90.00°, β = 90.00°, γ = 90.00°
Space group P4/mmm (No. 123)
Asymmetric unit:
Ba (0.000, 0.500, 0.000) (multiplicity 2)
Ca (0.000, 0.000, 0.500) (multiplicity 1)
Mg (0.500, 0.500, 0.500) (multiplicity 1)
Au (0.500, 0.500, 0.000) (multiplicity 1)

Properties
spin magnetization: 0.0 Bohr magnetons per cell
DOS(E_F): 5.073 states/eV/f.u.

---

Energies, relative to the best one, in eV/atom: P) 0.011; Q) 0.000.

---

P) This record from Alexandria via LeMat-Bulk describes BaCa2MgAu after structural relaxation. The functional is PBE.

a = 5.793 Å, b = 5.793 Å, c = 6.226 Å
α = 90.00°, β = 90.00°, γ = 90.00°
Space group P4/mmm (No. 123)
Asymmetric unit:
Ba (0.000, 0.000, 0.000) (multiplicity 1)
Ca (0.000, 0.500, 0.500) (multiplicity 2)
Mg (0.500, 0.500, 0.000) (multiplicity 1)
Au (0.000, 0.000, 0.500) (multiplicity 1)

Properties
spin magnetization: 0.0 Bohr magnetons per cell
DOS(E_F): 3.498 states/eV/f.u.

---

Q) This record from Alexandria via LeMat-Bulk describes BaCa2MgAu after structural relaxation. The functional is PBE.

a = 5.800 Å, b = 5.800 Å, c = 5.433 Å
α = 90.00°, β = 90.00°, γ = 90.00°
Space group P4/mmm (No. 123)
Asymmetric unit:
Ba (0.000, 0.000, 0.000) (multiplicity 1)
Ca (0.000, 0.500, 0.500) (multiplicity 2)
Mg (0.500, 0.500, 0.000) (multiplicity 1)
Au (0.500, 0.500, 0.500) (multiplicity 1)

Properties
spin magnetization: 0.0 Bohr magnetons per cell
DOS(E_F): 4.615 states/eV/f.u.

---

Energies, relative to the best one, in eV/atom: P) 0.075; Q) 0.000.

---

P) This record from Alexandria via LeMat-Bulk describes BaSr2CaAu after structural relaxation. The functional is PBE.

a = 6.239 Å, b = 6.239 Å, c = 5.947 Å
α = 90.00°, β = 90.00°, γ = 90.00°
Space group P4/mmm (No. 123)
Asymmetric unit:
Ba (0.000, 0.000, 0.000) (multiplicity 1)
Sr (0.000, 0.500, 0.500) (multiplicity 2)
Ca (0.500, 0.500, 0.000) (multiplicity 1)
Au (0.500, 0.500, 0.500) (multiplicity 1)

Properties
spin magnetization: 0.0 Bohr magnetons per cell
DOS(E_F): 4.527 states/eV/f.u.

---

Q) This record from Alexandria via LeMat-Bulk describes BaSr2CaAu after structural relaxation. The functional is PBE.

a = 6.176 Å, b = 6.176 Å, c = 6.414 Å
α = 90.00°, β = 90.00°, γ = 90.00°
Space group P4/mmm (No. 123)
Asymmetric unit:
Ba (0.000, 0.000, 0.000) (multiplicity 1)
Sr (0.000, 0.500, 0.500) (multiplicity 2)
Ca (0.500, 0.500, 0.000) (multiplicity 1)
Au (0.000, 0.000, 0.500) (multiplicity 1)

Properties
spin magnetization: 0.0 Bohr magnetons per cell
DOS(E_F): 3.460 states/eV/f.u.

---

Energies, relative to the best one, in eV/atom: P) 0.000; Q) 0.044.

---

P) This record from Alexandria via LeMat-Bulk describes Ba2Cd5Au3 after structural relaxation. The functional is PBE.

a = 4.666 Å, b = 4.666 Å, c = 12.643 Å
α = 90.00°, β = 90.00°, γ = 90.00°
Space group P-4m2 (No. 115)
Asymmetric unit:
Ba (0.000, 0.500, 0.225) (multiplicity 2)
Cd (0.000, 0.000, 0.500) (multiplicity 1)
Cd (0.000, 0.500, 0.643) (multiplicity 2)
Cd (0.500, 0.500, 0.000) (multiplicity 1)
Cd (0.500, 0.500, 0.500) (multiplicity 1)
Au (0.000, 0.000, 0.000) (multiplicity 1)
Au (0.000, 0.500, 0.864) (multiplicity 2)

Properties
spin magnetization: 0.0 Bohr magnetons per cell
DOS(E_F): 2.889 states/eV/f.u.

---

Q) This record from Alexandria via LeMat-Bulk describes Ba2Cd5Au3 after structural relaxation. The functional is PBE.

a = 11.790 Å, b = 13.931 Å, c = 6.709 Å
α = 90.00°, β = 90.00°, γ = 90.00°
Space group Ibam (No. 72)
Asymmetric unit:
Ba (0.227, 0.122, 0.000) (multiplicity 8)
Cd (0.000, 0.284, 0.250) (multiplicity 8)
Cd (0.000, 0.500, 0.250) (multiplicity 4)
Cd (0.108, 0.138, 0.500) (multiplicity 8)
Au (0.000, 0.000, 0.250) (multiplicity 4)
Au (0.157, 0.388, 0.000) (multiplicity 8)

Properties
spin magnetization: 0.0 Bohr magnetons per cell
DOS(E_F): 5.798 states/eV/f.u.

---

Energies, relative to the best one, in eV/atom: P) 0.027; Q) 0.000.